Record 1
A plane-wave DFT calculation with PBE was carried out for an optimized crystal structure of LiSc4Cu5.

Computed properties:
Magnetization: 0.00 μB per atom
SG: P4/mmm (123)
D(E_F): 4.822 states/eV/f.u.
Final energy: -4.9896 eV per atom

a = 3.233 Å, b = 3.233 Å, c = 15.753 Å
α = 90.00°, β = 90.00°, γ = 90.00°
Fractional coordinates of all 10 atoms:
Li (0.000, 0.000, 0.000)
Sc (0.000, 0.000, 0.186)
Sc (0.000, 0.000, 0.396)
Sc (0.000, 0.000, 0.604)
Sc (0.000, 0.000, 0.814)
Cu (0.500, 0.500, 0.083)
Cu (0.500, 0.500, 0.291)
Cu (0.500, 0.500, 0.500)
Cu (0.500, 0.500, 0.709)
Cu (0.500, 0.500, 0.917)

Record 2
A plane-wave DFT calculation with PBE was carried out for an optimized crystal structure of Li2ScCu2.

Computed properties:
Magnetization: 0.00 μB per atom
SG: P4/mbm (127)
D(E_F): 3.633 states/eV/f.u.
Energy relative to the lowest polymorph listed for this composition: 40 meV/atom

a = 7.242 Å, b = 7.242 Å, c = 2.840 Å
α = 90.00°, β = 90.00°, γ = 90.00°
Fractional coordinates of all 10 atoms:
Li (0.115, 0.385, 0.000)
Li (0.385, 0.885, 0.000)
Li (0.615, 0.115, 0.000)
Li (0.885, 0.615, 0.000)
Sc (0.000, 0.000, 0.000)
Sc (0.500, 0.500, 0.000)
Cu (0.186, 0.686, 0.500)
Cu (0.314, 0.186, 0.500)
Cu (0.686, 0.814, 0.500)
Cu (0.814, 0.314, 0.500)

Record 3
A plane-wave DFT calculation with PBE was carried out for an optimized crystal structure of LiSc4Cu.

Computed properties:
Magnetization: 0.00 μB per atom
SG: F-43m (216)
D(E_F): 6.854 states/eV/f.u.
Final energy: -4.7095 eV per atom

a = 5.819 Å, b = 5.819 Å, c = 5.819 Å
α = 60.00°, β = 60.00°, γ = 60.00°
Fractional coordinates of all 6 atoms:
Li (0.000, 0.000, 0.000)
Sc (0.127, 0.624, 0.624)
Sc (0.624, 0.127, 0.624)
Sc (0.624, 0.624, 0.127)
Sc (0.624, 0.624, 0.624)
Cu (0.250, 0.250, 0.250)

Record 4
A plane-wave DFT calculation with PBE was carried out for an optimized crystal structure of LiSc2Cu.

Computed properties:
Magnetization: 0.00 μB per atom
SG: Pm (6)
D(E_F): 4.184 states/eV/f.u.
Final energy: -4.6455 eV per atom

a = 3.244 Å, b = 4.519 Å, c = 5.410 Å
α = 90.00°, β = 107.30°, γ = 90.00°
Fractional coordinates of all 4 atoms:
Li (0.000, 0.000, 0.000)
Sc (0.278, 0.000, 0.553)
Sc (0.580, 0.500, 0.159)
Cu (0.861, 0.500, 0.714)

Record 5
A plane-wave DFT calculation with PBE was carried out for an optimized crystal structure of LiSc2Cu.

Computed properties:
Magnetization: 0.00 μB per atom
SG: R-3m (166)
D(E_F): 4.725 states/eV/f.u.
Final energy: -4.5410 eV per atom

a = 9.550 Å, b = 9.550 Å, c = 9.550 Å
α = 19.48°, β = 19.48°, γ = 19.48°
Fractional coordinates of all 4 atoms:
Li (0.000, 0.000, 0.000)
Sc (0.238, 0.238, 0.238)
Sc (0.762, 0.762, 0.762)
Cu (0.500, 0.500, 0.500)

Record 6
A plane-wave DFT calculation with PBE was carried out for an optimized crystal structure of LiSc2Cu.

Computed properties:
Magnetization: 0.00 μB per atom
SG: F-43m (216)
D(E_F): 1.454 states/eV/f.u.
Final energy: -4.5275 eV per atom

a = 4.655 Å, b = 4.655 Å, c = 4.655 Å
α = 60.00°, β = 60.00°, γ = 60.00°
Fractional coordinates of all 4 atoms:
Li (0.000, 0.000, 0.000)
Sc (0.250, 0.250, 0.250)
Sc (0.500, 0.500, 0.500)
Cu (0.750, 0.750, 0.750)

Record 7
A plane-wave DFT calculation with PBE was carried out for an optimized crystal structure of LiSc3Cu8.

Computed properties:
Magnetization: 0.00 μB per atom
SG: R3m (160)
D(E_F): 10.078 states/eV/f.u.
Final energy: -4.6653 eV per atom

a = 8.649 Å, b = 8.649 Å, c = 8.649 Å
α = 33.70°, β = 33.70°, γ = 33.70°
Fractional coordinates of all 12 atoms:
Li (0.000, 0.000, 0.000)
Sc (0.365, 0.365, 0.365)
Sc (0.492, 0.492, 0.492)
Sc (0.879, 0.879, 0.879)
Cu (0.184, 0.184, 0.184)
Cu (0.435, 0.933, 0.933)
Cu (0.436, 0.436, 0.930)
Cu (0.436, 0.930, 0.436)
Cu (0.683, 0.683, 0.683)
Cu (0.930, 0.436, 0.436)
Cu (0.933, 0.435, 0.933)
Cu (0.933, 0.933, 0.435)

Record 8
A plane-wave DFT calculation with PBE was carried out for an optimized crystal structure of Li2ScCu2.

Computed properties:
Magnetization: 0.00 μB per atom
SG: I4/mmm (139)
D(E_F): 2.643 states/eV/f.u.
Energy relative to the lowest polymorph listed for this composition: 0 meV/atom

a = 6.820 Å, b = 6.820 Å, c = 6.820 Å
α = 149.80°, β = 149.80°, γ = 43.23°
Fractional coordinates of all 5 atoms:
Li (0.250, 0.750, 0.500)
Li (0.750, 0.250, 0.500)
Sc (0.000, 0.000, 0.000)
Cu (0.403, 0.403, 0.000)
Cu (0.597, 0.597, 0.000)

Record 9
A plane-wave DFT calculation with PBE was carried out for an optimized crystal structure of LiSc3Cu.

Computed properties:
Magnetization: 0.22 μB per atom
SG: Pm-3m (221)
D(E_F): 9.460 states/eV/f.u.
Energy relative to the lowest polymorph listed for this composition: 0 meV/atom

a = 5.037 Å, b = 5.037 Å, c = 5.037 Å
α = 90.00°, β = 90.00°, γ = 90.00°
Fractional coordinates of all 5 atoms:
Li (0.000, 0.000, 0.000)
Sc (0.000, 0.500, 0.500)
Sc (0.500, 0.000, 0.500)
Sc (0.500, 0.500, 0.000)
Cu (0.500, 0.500, 0.500)

Record 10
A plane-wave DFT calculation with PBE was carried out for an optimized crystal structure of Li2ScCu.

Computed properties:
Magnetization: 0.27 μB per atom
SG: Fm-3m (225)
D(E_F): 4.000 states/eV/f.u.
Energy relative to the lowest polymorph listed for this composition: 181 meV/atom

a = 4.498 Å, b = 4.498 Å, c = 4.498 Å
α = 60.00°, β = 60.00°, γ = 60.00°
Fractional coordinates of all 4 atoms:
Li (0.250, 0.250, 0.250)
Li (0.750, 0.750, 0.750)
Sc (0.000, 0.000, 0.000)
Cu (0.500, 0.500, 0.500)

Record 11
A plane-wave DFT calculation with PBE was carried out for an optimized crystal structure of LiSc2Cu2.

Computed properties:
Magnetization: 0.00 μB per atom
SG: P4/mbm (127)
D(E_F): 5.541 states/eV/f.u.
Energy relative to the lowest polymorph listed for this composition: 0 meV/atom

a = 7.403 Å, b = 7.403 Å, c = 3.311 Å
α = 90.00°, β = 90.00°, γ = 90.00°
Fractional coordinates of all 10 atoms:
Li (0.000, 0.000, 0.000)
Li (0.500, 0.500, 0.000)
Sc (0.165, 0.335, 0.500)
Sc (0.335, 0.835, 0.500)
Sc (0.665, 0.165, 0.500)
Sc (0.835, 0.665, 0.500)
Cu (0.127, 0.627, 0.000)
Cu (0.373, 0.127, 0.000)
Cu (0.627, 0.873, 0.000)
Cu (0.873, 0.373, 0.000)

Record 12
A plane-wave DFT calculation with PBE was carried out for an optimized crystal structure of Li2ScCu.

Computed properties:
Magnetization: 0.03 μB per atom
SG: Cmmm (65)
D(E_F): 2.359 states/eV/f.u.
Energy relative to the lowest polymorph listed for this composition: 264 meV/atom

a = 5.266 Å, b = 5.266 Å, c = 2.881 Å
α = 90.00°, β = 90.00°, γ = 118.02°
Fractional coordinates of all 4 atoms:
Li (0.000, 0.500, 0.000)
Li (0.500, 0.000, 0.000)
Sc (0.000, 0.000, 0.500)
Cu (0.500, 0.500, 0.500)

Which of these has the highest magnetization? number 10